No. 1
# BaNa2MgBr6, relaxed, DFT PBE
# magnetization: 0.05 μB/cell
# total energy: -3.208 eV/atom
# formation energy from raw total energies: -1.589 eV/atom
# space group: No. 99
data_BaNa2MgBr6
_cell_length_a 7.9455
_cell_length_b 7.9455
_cell_length_c 6.5477
_cell_angle_alpha 90.00
_cell_angle_beta 90.00
_cell_angle_gamma 90.00
_symmetry_space_group_name_H-M 'P 1'
_symmetry_Int_Tables_number 1
loop_
_symmetry_equiv_pos_as_xyz
'x,y,z'
loop_
_atom_site_label
_atom_site_type_symbol
_atom_site_fract_x
_atom_site_fract_y
_atom_site_fract_z
Ba1 Ba 0.0000 0.0000 0.0000
Na1 Na 0.0000 0.5000 0.3157
Na2 Na 0.5000 0.0000 0.3157
Mg1 Mg 0.5000 0.5000 0.0243
Br1 Br 0.0000 0.0000 0.5257
Br2 Br 0.2716 0.2716 0.1495
Br3 Br 0.2716 0.7284 0.1495
Br4 Br 0.5000 0.5000 0.6499
Br5 Br 0.7284 0.2716 0.1495
Br6 Br 0.7284 0.7284 0.1495

=====

No. 2
# Ba2NaMgBr, relaxed, DFT PBE
# magnetization: 0.00 μB/cell
# energy above the lowest structure with this stoichiometry: 0.00 eV per formula unit
# total energy: -2.041 eV/atom
# formation energy from raw total energies: -0.355 eV/atom
# space group: No. 123
data_Ba2NaMgBr
_cell_length_a 6.4473
_cell_length_b 6.4473
_cell_length_c 5.7485
_cell_angle_alpha 90.00
_cell_angle_beta 90.00
_cell_angle_gamma 90.00
_symmetry_space_group_name_H-M 'P 1'
_symmetry_Int_Tables_number 1
loop_
_symmetry_equiv_pos_as_xyz
'x,y,z'
loop_
_atom_site_label
_atom_site_type_symbol
_atom_site_fract_x
_atom_site_fract_y
_atom_site_fract_z
Ba1 Ba 0.0000 0.5000 0.0000
Ba2 Ba 0.5000 0.0000 0.0000
Na1 Na 0.0000 0.0000 0.5000
Mg1 Mg 0.5000 0.5000 0.5000
Br1 Br 0.5000 0.5000 0.0000

=====

No. 3
# Ba2MgBr2O2, relaxed, DFT PBE
# magnetization: 0.00 μB/cell
# total energy: -5.061 eV/atom
# formation energy from raw total energies: -2.389 eV/atom
# space group: No. 139
data_Ba2MgBr2O2
_cell_length_a 9.2813
_cell_length_b 9.2813
_cell_length_c 9.2813
_cell_angle_alpha 153.12
_cell_angle_beta 153.12
_cell_angle_gamma 38.38
_symmetry_space_group_name_H-M 'P 1'
_symmetry_Int_Tables_number 1
loop_
_symmetry_equiv_pos_as_xyz
'x,y,z'
loop_
_atom_site_label
_atom_site_type_symbol
_atom_site_fract_x
_atom_site_fract_y
_atom_site_fract_z
Ba1 Ba 0.1007 0.1007 0.0000
Ba2 Ba 0.8993 0.8993 0.0000
Mg1 Mg 0.5000 0.5000 0.0000
Br1 Br 0.3243 0.3243 0.0000
Br2 Br 0.6757 0.6757 0.0000
O1 O 0.0000 0.5000 0.5000
O2 O 0.5000 0.0000 0.5000

=====

No. 4
# BaMgBrO2, relaxed, DFT PBE
# magnetization: 0.00 μB/cell
# energy above the lowest structure with this stoichiometry: 5.07 eV per formula unit
# total energy: -3.682 eV/atom
# formation energy from raw total energies: -0.661 eV/atom
# space group: No. 123
data_BaMgBrO2
_cell_length_a 4.5903
_cell_length_b 4.5903
_cell_length_c 6.4419
_cell_angle_alpha 90.00
_cell_angle_beta 90.00
_cell_angle_gamma 90.00
_symmetry_space_group_name_H-M 'P 1'
_symmetry_Int_Tables_number 1
loop_
_symmetry_equiv_pos_as_xyz
'x,y,z'
loop_
_atom_site_label
_atom_site_type_symbol
_atom_site_fract_x
_atom_site_fract_y
_atom_site_fract_z
Ba1 Ba 0.0000 0.0000 0.0000
Mg1 Mg 0.5000 0.5000 0.5000
Br1 Br 0.0000 0.0000 0.5000
O1 O 0.0000 0.5000 0.0000
O2 O 0.5000 0.0000 0.0000

=====

No. 5
# BaMgBrO2, relaxed, DFT PBE
# magnetization: 1.00 μB/cell
# energy above the lowest structure with this stoichiometry: 0.00 eV per formula unit
# total energy: -4.696 eV/atom
# formation energy from raw total energies: -1.675 eV/atom
# space group: No. 123
data_BaMgBrO2
_cell_length_a 4.3604
_cell_length_b 4.3604
_cell_length_c 5.1048
_cell_angle_alpha 90.00
_cell_angle_beta 90.00
_cell_angle_gamma 90.00
_symmetry_space_group_name_H-M 'P 1'
_symmetry_Int_Tables_number 1
loop_
_symmetry_equiv_pos_as_xyz
'x,y,z'
loop_
_atom_site_label
_atom_site_type_symbol
_atom_site_fract_x
_atom_site_fract_y
_atom_site_fract_z
Ba1 Ba 0.0000 0.0000 0.0000
Mg1 Mg 0.5000 0.5000 0.5000
Br1 Br 0.5000 0.5000 0.0000
O1 O 0.0000 0.5000 0.5000
O2 O 0.5000 0.0000 0.5000

=====

No. 6
# BaMgPbBr6, relaxed, DFT PBE
# magnetization: 0.00 μB/cell
# total energy: -3.419 eV/atom
# formation energy from raw total energies: -1.501 eV/atom
# space group: No. 163
data_BaMgPbBr6
_cell_length_a 7.4705
_cell_length_b 7.4705
_cell_length_c 13.7938
_cell_angle_alpha 90.00
_cell_angle_beta 90.00
_cell_angle_gamma 120.00
_symmetry_space_group_name_H-M 'P 1'
_symmetry_Int_Tables_number 1
loop_
_symmetry_equiv_pos_as_xyz
'x,y,z'
loop_
_atom_site_label
_atom_site_type_symbol
_atom_site_fract_x
_atom_site_fract_y
_atom_site_fract_z
Ba1 Ba 0.0000 0.0000 0.0000
Ba2 Ba 0.0000 0.0000 0.5000
Mg1 Mg 0.3333 0.6667 0.2500
Mg2 Mg 0.6667 0.3333 0.7500
Pb1 Pb 0.3333 0.6667 0.7500
Pb2 Pb 0.6667 0.3333 0.2500
Br1 Br 0.0342 0.3776 0.1343
Br2 Br 0.0342 0.6566 0.3657
Br3 Br 0.3434 0.3776 0.3657
Br4 Br 0.3434 0.9658 0.1343
Br5 Br 0.3776 0.0342 0.6343
Br6 Br 0.3776 0.3434 0.8657
Br7 Br 0.6224 0.6566 0.1343
Br8 Br 0.6224 0.9658 0.3657
Br9 Br 0.6566 0.0342 0.8657
Br10 Br 0.6566 0.6224 0.6343
Br11 Br 0.9658 0.3434 0.6343
Br12 Br 0.9658 0.6224 0.8657

=====

No. 7
# BaMg2PbBr8, relaxed, DFT PBE
# magnetization: 0.00 μB/cell
# total energy: -3.263 eV/atom
# formation energy from raw total energies: -1.413 eV/atom
# space group: No. 147
data_BaMg2PbBr8
_cell_length_a 6.9837
_cell_length_b 6.9837
_cell_length_c 10.1866
_cell_angle_alpha 90.00
_cell_angle_beta 90.00
_cell_angle_gamma 120.00
_symmetry_space_group_name_H-M 'P 1'
_symmetry_Int_Tables_number 1
loop_
_symmetry_equiv_pos_as_xyz
'x,y,z'
loop_
_atom_site_label
_atom_site_type_symbol
_atom_site_fract_x
_atom_site_fract_y
_atom_site_fract_z
Ba1 Ba 0.0000 0.0000 0.0000
Mg1 Mg 0.3333 0.6667 0.7615
Mg2 Mg 0.6667 0.3333 0.2385
Pb1 Pb 0.0000 0.0000 0.5000
Br1 Br 0.0102 0.6891 0.2958
Br2 Br 0.3109 0.3211 0.2958
Br3 Br 0.3211 0.0102 0.7042
Br4 Br 0.3333 0.6667 0.0040
Br5 Br 0.6667 0.3333 0.9960
Br6 Br 0.6789 0.9898 0.2958
Br7 Br 0.6891 0.6789 0.7042
Br8 Br 0.9898 0.3109 0.7042

=====

No. 8
# Ba2MgPdBr, relaxed, DFT PBE
# magnetization: 0.00 μB/cell
# total energy: -3.200 eV/atom
# formation energy from raw total energies: -0.739 eV/atom
# space group: No. 123
data_Ba2MgPdBr
_cell_length_a 6.2493
_cell_length_b 6.2493
_cell_length_c 5.0396
_cell_angle_alpha 90.00
_cell_angle_beta 90.00
_cell_angle_gamma 90.00
_symmetry_space_group_name_H-M 'P 1'
_symmetry_Int_Tables_number 1
loop_
_symmetry_equiv_pos_as_xyz
'x,y,z'
loop_
_atom_site_label
_atom_site_type_symbol
_atom_site_fract_x
_atom_site_fract_y
_atom_site_fract_z
Ba1 Ba 0.0000 0.5000 0.0000
Ba2 Ba 0.5000 0.0000 0.0000
Mg1 Mg 0.0000 0.0000 0.5000
Pd1 Pd 0.0000 0.0000 0.0000
Br1 Br 0.5000 0.5000 0.5000

=====

No. 9
# Ba2MgPtBr, relaxed, DFT PBE
# magnetization: 0.00 μB/cell
# total energy: -3.514 eV/atom
# formation energy from raw total energies: -0.884 eV/atom
# space group: No. 123
data_Ba2MgPtBr
_cell_length_a 6.2070
_cell_length_b 6.2070
_cell_length_c 5.0660
_cell_angle_alpha 90.00
_cell_angle_beta 90.00
_cell_angle_gamma 90.00
_symmetry_space_group_name_H-M 'P 1'
_symmetry_Int_Tables_number 1
loop_
_symmetry_equiv_pos_as_xyz
'x,y,z'
loop_
_atom_site_label
_atom_site_type_symbol
_atom_site_fract_x
_atom_site_fract_y
_atom_site_fract_z
Ba1 Ba 0.0000 0.5000 0.0000
Ba2 Ba 0.5000 0.0000 0.0000
Mg1 Mg 0.0000 0.0000 0.5000
Pt1 Pt 0.0000 0.0000 0.0000
Br1 Br 0.5000 0.5000 0.5000

=====

No. 10
# Ba2MgS2Br2, relaxed, DFT PBE
# magnetization: 0.00 μB/cell
# total energy: -4.360 eV/atom
# formation energy from raw total energies: -1.926 eV/atom
# space group: No. 139
data_Ba2MgS2Br2
_cell_length_a 9.1374
_cell_length_b 9.1374
_cell_length_c 9.1374
_cell_angle_alpha 148.23
_cell_angle_beta 148.23
_cell_angle_gamma 45.55
_symmetry_space_group_name_H-M 'P 1'
_symmetry_Int_Tables_number 1
loop_
_symmetry_equiv_pos_as_xyz
'x,y,z'
loop_
_atom_site_label
_atom_site_type_symbol
_atom_site_fract_x
_atom_site_fract_y
_atom_site_fract_z
Ba1 Ba 0.1191 0.1191 0.0000
Ba2 Ba 0.8809 0.8809 0.0000
Mg1 Mg 0.5000 0.5000 0.0000
S1 S 0.0000 0.5000 0.5000
S2 S 0.5000 0.0000 0.5000
Br1 Br 0.3202 0.3202 0.0000
Br2 Br 0.6798 0.6798 0.0000

=====

No. 11
# Ba2MgScBr, relaxed, DFT PBE
# magnetization: 2.11 μB/cell
# total energy: -2.395 eV/atom
# formation energy from raw total energies: 0.294 eV/atom
# space group: No. 123
data_Ba2MgScBr
_cell_length_a 6.9220
_cell_length_b 6.9220
_cell_length_c 5.1911
_cell_angle_alpha 90.00
_cell_angle_beta 90.00
_cell_angle_gamma 90.00
_symmetry_space_group_name_H-M 'P 1'
_symmetry_Int_Tables_number 1
loop_
_symmetry_equiv_pos_as_xyz
'x,y,z'
loop_
_atom_site_label
_atom_site_type_symbol
_atom_site_fract_x
_atom_site_fract_y
_atom_site_fract_z
Ba1 Ba 0.0000 0.5000 0.0000
Ba2 Ba 0.5000 0.0000 0.0000
Mg1 Mg 0.0000 0.0000 0.0000
Sc1 Sc 0.5000 0.5000 0.5000
Br1 Br 0.0000 0.0000 0.5000

=====

No. 12
# BaMgSe2Br, relaxed, DFT PBE
# magnetization: 0.00 μB/cell
# energy above the lowest structure with this stoichiometry: 0.00 eV per formula unit
# total energy: -3.769 eV/atom
# formation energy from raw total energies: -1.337 eV/atom
# space group: No. 123
data_BaMgSe2Br
_cell_length_a 5.1308
_cell_length_b 5.1308
_cell_length_c 5.5032
_cell_angle_alpha 90.00
_cell_angle_beta 90.00
_cell_angle_gamma 90.00
_symmetry_space_group_name_H-M 'P 1'
_symmetry_Int_Tables_number 1
loop_
_symmetry_equiv_pos_as_xyz
'x,y,z'
loop_
_atom_site_label
_atom_site_type_symbol
_atom_site_fract_x
_atom_site_fract_y
_atom_site_fract_z
Ba1 Ba 0.0000 0.0000 0.0000
Mg1 Mg 0.5000 0.5000 0.5000
Se1 Se 0.0000 0.5000 0.5000
Se2 Se 0.5000 0.0000 0.5000
Br1 Br 0.5000 0.5000 0.0000